No. 1
{
  "formula": "La3CuS3O2",
  "functional": "SCAN",
  "state": "PBEsol geometry",
  "magmom_total_mub_per_cell": 0.0,
  "sg": "Pnma, No. 62",
  "volume_a3_per_atom": 18.5,
  "e_form_raw_ev_per_atom": -2.70,
  "cell": [[3.889, 0.000, 0.000], [0.000, 12.364, 0.000], [0.000, 0.000, 13.871]],
  "species": ["La", "La", "La", "La", "La", "La", "La", "La", "La", "La", "La", "La", "Cu", "Cu", "Cu", "Cu", "S", "S", "S", "S", "S", "S", "S", "S", "S", "S", "S", "S", "O", "O", "O", "O", "O", "O", "O", "O"],
  "frac_coords": [[0.750, 0.904, 0.368], [0.250, 0.387, 0.708], [0.750, 0.613, 0.292], [0.750, 0.899, 0.077], [0.250, 0.101, 0.923], [0.250, 0.399, 0.423], [0.250, 0.096, 0.632], [0.750, 0.601, 0.577], [0.750, 0.596, 0.868], [0.250, 0.113, 0.208], [0.750, 0.887, 0.792], [0.250, 0.404, 0.132], [0.750, 0.171, 0.415], [0.250, 0.671, 0.085], [0.250, 0.829, 0.585], [0.750, 0.329, 0.915], [0.250, 0.788, 0.218], [0.750, 0.569, 0.086], [0.250, 0.712, 0.718], [0.250, 0.431, 0.914], [0.750, 0.931, 0.586], [0.750, 0.235, 0.056], [0.250, 0.735, 0.444], [0.750, 0.265, 0.556], [0.750, 0.212, 0.782], [0.250, 0.069, 0.414], [0.750, 0.288, 0.282], [0.250, 0.765, 0.944], [0.250, 0.494, 0.573], [0.750, 0.506, 0.427], [0.750, 0.494, 0.729], [0.250, 0.006, 0.073], [0.250, 0.506, 0.271], [0.750, 0.994, 0.927], [0.750, 0.006, 0.229], [0.250, 0.994, 0.771]]
}

---

No. 2
{
  "formula": "La4Cu4SeS3O4",
  "functional": "SCAN",
  "state": "PBEsol geometry",
  "magmom_total_mub_per_cell": 0.0,
  "sg": "P4mm, No. 99",
  "volume_a3_per_atom": 16.5,
  "e_form_raw_ev_per_atom": -2.27,
  "cell": [[5.592, 0.000, 0.000], [0.000, 5.592, 0.000], [0.000, 0.000, 8.418]],
  "species": ["La", "La", "La", "La", "Cu", "Cu", "Cu", "Cu", "Se", "S", "S", "S", "O", "O", "O", "O"],
  "frac_coords": [[0.500, 0.500, 0.847], [0.000, 0.000, 0.849], [0.000, 0.500, 0.146], [0.500, 0.000, 0.146], [0.239, 0.761, 0.505], [0.761, 0.239, 0.505], [0.239, 0.239, 0.505], [0.761, 0.761, 0.505], [0.500, 0.500, 0.338], [0.000, 0.000, 0.335], [0.000, 0.500, 0.660], [0.500, 0.000, 0.660], [0.250, 0.750, 0.997], [0.750, 0.250, 0.997], [0.250, 0.250, 0.997], [0.750, 0.750, 0.997]]
}

---

No. 3
{
  "formula": "La4Cu4Se3SO4",
  "functional": "SCAN",
  "state": "PBEsol geometry",
  "magmom_total_mub_per_cell": 0.0,
  "sg": "P4mm, No. 99",
  "volume_a3_per_atom": 17.0,
  "e_form_raw_ev_per_atom": -2.24,
  "cell": [[5.651, 0.000, 0.000], [0.000, 5.651, 0.000], [0.000, 0.000, 8.542]],
  "species": ["La", "La", "La", "La", "Cu", "Cu", "Cu", "Cu", "Se", "Se", "Se", "S", "O", "O", "O", "O"],
  "frac_coords": [[0.000, 0.500, 0.851], [0.500, 0.000, 0.851], [0.500, 0.500, 0.141], [0.000, 0.000, 0.140], [0.762, 0.762, 0.505], [0.238, 0.238, 0.505], [0.762, 0.238, 0.505], [0.238, 0.762, 0.505], [0.000, 0.500, 0.331], [0.500, 0.000, 0.331], [0.500, 0.500, 0.662], [0.000, 0.000, 0.666], [0.750, 0.750, 0.996], [0.250, 0.250, 0.996], [0.750, 0.250, 0.996], [0.250, 0.750, 0.996]]
}

---

No. 4
{
  "formula": "SrLaCuSbO6",
  "functional": "SCAN",
  "state": "PBEsol geometry",
  "magmom_total_mub_per_cell": 2.0,
  "sg": "Pc, No. 7",
  "volume_a3_per_atom": 12.8,
  "e_form_raw_ev_per_atom": -2.38,
  "cell": [[-3.045, -3.273, 3.146], [4.094, -3.665, 0.150], [3.197, 3.853, 6.876]],
  "species": ["Sr", "Sr", "La", "La", "Cu", "Cu", "Sb", "Sb", "O", "O", "O", "O", "O", "O", "O", "O", "O", "O", "O", "O"],
  "frac_coords": [[0.486, 0.219, 0.252], [0.986, 0.781, 0.752], [0.520, 0.287, 0.746], [0.020, 0.713, 0.246], [0.998, 0.248, 0.002], [0.498, 0.752, 0.502], [0.000, 0.249, 0.500], [0.500, 0.751, 0.000], [0.588, 0.761, 0.226], [0.088, 0.239, 0.726], [0.431, 0.731, 0.772], [0.931, 0.269, 0.272], [0.282, 0.474, 0.457], [0.782, 0.526, 0.957], [0.709, 0.037, 0.546], [0.209, 0.963, 0.046], [0.210, 0.958, 0.451], [0.710, 0.042, 0.951], [0.776, 0.530, 0.549], [0.276, 0.470, 0.049]]
}

---

No. 5
{
  "formula": "La2CuSnO6",
  "functional": "SCAN",
  "state": "PBEsol geometry",
  "magmom_total_mub_per_cell": 0.0,
  "sg": "P2_1/m, No. 11",
  "volume_a3_per_atom": 12.9,
  "e_form_raw_ev_per_atom": -2.62,
  "cell": [[7.746, 0.000, 0.000], [0.000, 7.751, 0.009], [0.000, -0.277, 8.561]],
  "species": ["La", "La", "La", "La", "La", "La", "La", "La", "Cu", "Cu", "Cu", "Cu", "Sn", "Sn", "Sn", "Sn", "O", "O", "O", "O", "O", "O", "O", "O", "O", "O", "O", "O", "O", "O", "O", "O", "O", "O", "O", "O", "O", "O", "O", "O"],
  "frac_coords": [[0.250, 0.717, 0.224], [0.750, 0.283, 0.776], [0.250, 0.205, 0.243], [0.750, 0.795, 0.757], [0.250, 0.229, 0.807], [0.750, 0.771, 0.193], [0.250, 0.714, 0.791], [0.750, 0.286, 0.209], [0.000, 0.000, 0.000], [0.500, 0.000, 0.000], [0.000, 0.500, 0.000], [0.500, 0.500, 0.000], [0.000, 0.000, 0.500], [0.500, 0.000, 0.500], [0.000, 0.500, 0.500], [0.500, 0.500, 0.500], [0.250, 0.523, 0.008], [0.750, 0.477, 0.992], [0.250, 0.477, 0.411], [0.750, 0.523, 0.589], [0.250, 0.083, 0.542], [0.750, 0.917, 0.458], [0.250, 0.966, 0.977], [0.750, 0.034, 0.023], [0.544, 0.248, 0.419], [0.044, 0.752, 0.581], [0.456, 0.752, 0.581], [0.956, 0.248, 0.419], [0.553, 0.560, 0.274], [0.053, 0.440, 0.726], [0.447, 0.440, 0.726], [0.947, 0.560, 0.274], [0.031, 0.249, 0.037], [0.531, 0.751, 0.963], [0.969, 0.751, 0.963], [0.469, 0.249, 0.037], [0.054, 0.946, 0.270], [0.554, 0.054, 0.730], [0.946, 0.054, 0.730], [0.446, 0.946, 0.270]]
}

---

No. 6
{
  "formula": "SrLa3Cu4O10",
  "functional": "SCAN",
  "state": "PBEsol geometry",
  "magmom_total_mub_per_cell": 0.0,
  "sg": "Pm, No. 6",
  "volume_a3_per_atom": 12.0,
  "e_form_raw_ev_per_atom": -2.30,
  "cell": [[-3.853, 0.077, 0.066], [-0.093, 0.003, -5.372], [-0.207, -10.451, 0.045]],
  "species": ["Sr", "La", "La", "La", "Cu", "Cu", "Cu", "Cu", "O", "O", "O", "O", "O", "O", "O", "O", "O", "O"],
  "frac_coords": [[0.500, 0.800, 0.138], [0.500, 0.197, 0.866], [0.500, 0.307, 0.356], [0.500, 0.694, 0.638], [0.000, 0.789, 0.392], [0.000, 0.209, 0.606], [0.000, 0.287, 0.111], [0.000, 0.712, 0.892], [0.500, 0.790, 0.400], [0.500, 0.212, 0.605], [0.500, 0.292, 0.104], [0.500, 0.709, 0.888], [0.000, 0.502, 0.503], [0.000, 0.016, 0.989], [0.000, 0.546, 0.229], [0.000, 0.437, 0.782], [0.000, 0.064, 0.286], [0.000, 0.935, 0.714]]
}

---

No. 7
{
  "formula": "SrLa3Cu2O8",
  "functional": "SCAN",
  "state": "PBEsol geometry",
  "magmom_total_mub_per_cell": 0.7,
  "sg": "Amm2, No. 38",
  "volume_a3_per_atom": 13.0,
  "e_form_raw_ev_per_atom": -2.73,
  "cell": [[5.316, 0.000, 0.000], [0.000, 5.309, 0.000], [-2.658, 0.000, 6.430]],
  "species": ["Sr", "La", "La", "La", "Cu", "Cu", "O", "O", "O", "O", "O", "O", "O", "O"],
  "frac_coords": [[0.641, 0.000, 0.282], [0.138, 0.500, 0.276], [0.859, 0.500, 0.718], [0.361, 0.000, 0.723], [0.504, 0.500, 0.008], [0.999, 0.000, 0.999], [0.749, 0.746, 0.994], [0.245, 0.254, 0.994], [0.245, 0.746, 0.994], [0.749, 0.254, 0.994], [0.319, 0.500, 0.638], [0.831, 0.000, 0.662], [0.180, 0.000, 0.359], [0.679, 0.500, 0.358]]
}

---

No. 8
{
  "formula": "Sr3LaCu4O8",
  "functional": "SCAN",
  "state": "PBEsol geometry",
  "magmom_total_mub_per_cell": 0.0,
  "sg": "Pmc2_1, No. 26",
  "volume_a3_per_atom": 13.5,
  "e_form_raw_ev_per_atom": -2.09,
  "cell": [[-0.155, -2.162, -2.922], [10.846, -0.576, -0.148], [-0.378, -8.792, 6.526]],
  "species": ["Sr", "Sr", "Sr", "Sr", "Sr", "Sr", "La", "La", "Cu", "Cu", "Cu", "Cu", "Cu", "Cu", "Cu", "Cu", "O", "O", "O", "O", "O", "O", "O", "O", "O", "O", "O", "O", "O", "O", "O", "O"],
  "frac_coords": [[0.500, 0.217, 0.260], [0.500, 0.783, 0.760], [0.500, 0.489, 0.465], [0.500, 0.006, 0.532], [0.500, 0.994, 0.032], [0.500, 0.511, 0.965], [0.500, 0.286, 0.737], [0.500, 0.714, 0.237], [0.000, 0.037, 0.787], [0.000, 0.464, 0.216], [0.000, 0.963, 0.287], [0.000, 0.536, 0.716], [0.000, 0.248, 0.497], [0.000, 0.752, 0.997], [0.000, 0.752, 0.498], [0.000, 0.248, 0.998], [0.000, 0.864, 0.617], [0.000, 0.642, 0.376], [0.000, 0.136, 0.117], [0.000, 0.358, 0.876], [0.500, 0.065, 0.803], [0.500, 0.469, 0.208], [0.500, 0.935, 0.303], [0.500, 0.531, 0.708], [0.000, 0.387, 0.603], [0.000, 0.106, 0.398], [0.000, 0.613, 0.103], [0.000, 0.894, 0.898], [0.000, 0.353, 0.359], [0.000, 0.153, 0.645], [0.000, 0.847, 0.145], [0.000, 0.647, 0.859]]
}

---

No. 9
{
  "formula": "LaCuW2O8",
  "functional": "SCAN",
  "state": "PBEsol geometry",
  "magmom_total_mub_per_cell": 0.0,
  "sg": "P-1, No. 2",
  "volume_a3_per_atom": 13.8,
  "e_form_raw_ev_per_atom": -2.42,
  "cell": [[4.974, 0.006, 0.002], [-2.155, 5.642, -0.027], [-0.281, -2.278, 5.892]],
  "species": ["O", "O", "O", "O", "O", "O", "O", "O", "Cu", "W", "W", "La"],
  "frac_coords": [[0.510, 0.778, 0.085], [0.989, 0.247, 0.232], [0.471, 0.798, 0.520], [0.022, 0.186, 0.659], [0.011, 0.753, 0.768], [0.490, 0.222, 0.915], [0.529, 0.202, 0.480], [0.978, 0.814, 0.341], [0.500, 0.500, 0.500], [0.755, 0.022, 0.338], [0.245, 0.978, 0.662], [0.000, 0.500, 0.000]]
}

---

No. 10
{
  "formula": "LaCu2Os",
  "functional": "SCAN",
  "state": "PBEsol geometry",
  "magmom_total_mub_per_cell": 0.0,
  "sg": "Imm2, No. 44",
  "formation_energy_ev_per_atom": 0.428,
  "volume_a3_per_atom": 16.7,
  "e_above_lowest_polymorph_mev_per_atom": 362.4,
  "cell": [[-1.806, 1.069, 2.830], [2.614, -2.578, 2.643], [2.255, 3.953, -2.247]],
  "species": ["Cu", "Cu", "La", "Os"],
  "frac_coords": [[0.010, 0.010, 0.020], [0.726, 0.226, 0.453], [0.495, 0.495, 0.990], [0.269, 0.769, 0.538]]
}

---

No. 11
{
  "formula": "LaCuOs",
  "functional": "SCAN",
  "state": "PBEsol geometry",
  "magmom_total_mub_per_cell": 0.0,
  "sg": "F-43m, No. 216",
  "formation_energy_ev_per_atom": 0.504,
  "volume_a3_per_atom": 20.4,
  "cell": [[-2.129, 3.792, 0.817], [-3.242, 0.112, 3.009], [0.621, 2.102, 3.844]],
  "species": ["Cu", "La", "Os"],
  "frac_coords": [[0.750, 0.750, 0.750], [0.000, 0.000, 0.000], [0.500, 0.500, 0.500]]
}

---

No. 12
{
  "formula": "LaCu2Os",
  "functional": "SCAN",
  "state": "PBEsol geometry",
  "magmom_total_mub_per_cell": 0.5,
  "sg": "I4/mmm, No. 139",
  "formation_energy_ev_per_atom": 0.322,
  "volume_a3_per_atom": 16.4,
  "e_above_lowest_polymorph_mev_per_atom": 256.5,
  "cell": [[-3.155, 1.349, 2.142], [-1.606, -3.712, -0.027], [4.322, 0.317, 2.346]],
  "species": ["Cu", "Cu", "La", "Os"],
  "frac_coords": [[0.750, 0.250, 0.500], [0.250, 0.750, 0.500], [0.000, 0.000, 0.000], [0.500, 0.500, 0.000]]
}